Record 1
Entry from Alexandria: an optimized crystal structure of Ac3Pr2Sm7 (PBE).

```
data_Ac3Pr2Sm7
_space_group_name_H-M_alt 'P 1 2/m 1'
_space_group_IT_number 10
_space_group_name_Hall '-P 2y'
_cell_length_a 3.8123
_cell_length_b 5.8862
_cell_length_c 20.7658
_cell_angle_alpha 90.00
_cell_angle_beta 95.26
_cell_angle_gamma 90.00
loop_
_atom_site_label
_atom_site_fract_x
_atom_site_fract_y
_atom_site_fract_z
Ac1 0.0000 0.0000 0.0000
Ac2 0.3184 0.5000 0.6378
Pr1 0.1403 0.0000 0.2798
Sm1 0.0855 0.5000 0.1716
Sm2 0.2176 0.0000 0.4346
Sm3 0.4297 0.0000 0.8592
Sm4 0.5000 0.5000 0.0000
```

## Properties
The total energy comes out at -4.349 eV/atom. The calculation puts the formation energy from the elements at 227 meV/atom. The calculation puts the density at 7.2 g/cm3. The calculated volume is 38.7 Å³ per atom.

=====

Record 2
Entry from Alexandria: an optimized crystal structure of CsSc2Co (PBE).

```
data_CsSc2Co
_space_group_name_H-M_alt 'F m -3 m'
_space_group_IT_number 225
_space_group_name_Hall '-F 4 2 3'
_cell_length_a 7.1128
_cell_length_b 7.1128
_cell_length_c 7.1128
_cell_angle_alpha 90.00
_cell_angle_beta 90.00
_cell_angle_gamma 90.00
loop_
_atom_site_label
_atom_site_fract_x
_atom_site_fract_y
_atom_site_fract_z
Cs1 0.0000 0.0000 0.0000
Sc1 0.2500 0.2500 0.2500
Co1 0.0000 0.0000 0.5000
```

## Properties
The total energy comes out at -4.257 eV/atom. The energy above the most stable polymorph in this dataset comes out at 67.7 kJ per mole of atoms. The calculation puts the formation energy from the elements at 899 meV/atom. The calculation puts the density at 5.2 g/cm3. The calculated volume is 22.5 Å³ per atom.

=====

Q: Among the records above, which one has the lowest formation energy from the elements?
A: Ac3Pr2Sm7

=====

Q: Which value of density does entry 2 give?
A: 5.2 g/cm3